<w>
Below is a relaxed structure of Ir5OsRh2, with properties calculated at the PBE level.

a b c (Å): 3.8642 3.8642 15.4575
angles (deg): 90.00 90.00 90.00
Positions (direct):
Ir (0.0000, 0.0000, 0.0000)
Ir (0.0000, 0.5000, 0.1230)
Ir (0.0000, 0.5000, 0.3770)
Ir (0.0000, 0.5000, 0.6230)
Ir (0.0000, 0.5000, 0.8770)
Ir (0.5000, 0.0000, 0.1230)
Ir (0.5000, 0.0000, 0.3770)
Ir (0.5000, 0.0000, 0.6230)
Ir (0.5000, 0.0000, 0.8770)
Ir (0.5000, 0.5000, 0.5000)
Os (0.0000, 0.0000, 0.5000)
Os (0.5000, 0.5000, 0.0000)
Rh (0.0000, 0.0000, 0.2478)
Rh (0.0000, 0.0000, 0.7522)
Rh (0.5000, 0.5000, 0.2522)
Rh (0.5000, 0.5000, 0.7478)

Properties
M_tot ... 0.00 Bohr magnetons per cell
SG ... I4/mmm, No. 139

---

<x>
Below is a relaxed structure of Ir5OsRh2, with properties calculated at the PBE level.

a b c (Å): 7.2337 7.2337 7.2337
angles (deg): 125.52 125.52 80.68
Positions (direct):
Ir (0.0000, 0.0000, 0.0000)
Ir (0.0217, 0.5217, 0.2043)
Ir (0.1826, 0.9783, 0.5000)
Ir (0.3174, 0.8174, 0.7957)
Ir (0.4783, 0.6826, 0.5000)
Ir (0.5000, 0.5000, 0.0000)
Ir (0.5217, 0.3174, 0.5000)
Ir (0.6826, 0.1826, 0.2043)
Ir (0.8174, 0.0217, 0.5000)
Ir (0.9783, 0.4783, 0.7957)
Os (0.2500, 0.2500, 0.0000)
Os (0.7500, 0.7500, 0.0000)
Rh (0.1386, 0.3614, 0.5000)
Rh (0.3614, 0.8614, 0.2229)
Rh (0.6386, 0.1386, 0.7771)
Rh (0.8614, 0.6386, 0.5000)

Properties
M_tot ... 0.00 Bohr magnetons per cell
SG ... I4/mcm, No. 140

---

The most stable of them is <w>.

---

<w>
Below is a relaxed structure of Ir2OsRh3, with properties calculated at the PBE level.

a b c (Å): 4.7014 13.8759 2.7158
angles (deg): 90.00 90.00 90.00
Positions (direct):
Ir (0.1679, 0.1559, 0.0000)
Ir (0.3321, 0.6559, 0.5000)
Ir (0.6679, 0.3441, 0.5000)
Ir (0.8321, 0.8441, 0.0000)
Os (0.0000, 0.0000, 0.5000)
Os (0.5000, 0.5000, 0.0000)
Rh (0.0000, 0.5000, 0.5000)
Rh (0.1658, 0.3398, 0.0000)
Rh (0.3342, 0.8398, 0.5000)
Rh (0.5000, 0.0000, 0.0000)
Rh (0.6658, 0.1602, 0.5000)
Rh (0.8342, 0.6602, 0.0000)

Properties
M_tot ... 0.00 Bohr magnetons per cell
SG ... Pnnm, No. 58

---

<x>
Below is a relaxed structure of Ir2OsRh3, with properties calculated at the PBE level.

a b c (Å): 6.3592 2.7234 10.3414
angles (deg): 90.00 97.06 90.00
Positions (direct):
Ir (0.0888, 0.2500, 0.1070)
Ir (0.3682, 0.7500, 0.5785)
Ir (0.6318, 0.2500, 0.4215)
Ir (0.9112, 0.7500, 0.8930)
Os (0.1494, 0.2500, 0.7343)
Os (0.8506, 0.7500, 0.2657)
Rh (0.1863, 0.2500, 0.3718)
Rh (0.3278, 0.7500, 0.9425)
Rh (0.4320, 0.7500, 0.2148)
Rh (0.5680, 0.2500, 0.7852)
Rh (0.6722, 0.2500, 0.0575)
Rh (0.8137, 0.7500, 0.6282)

Properties
M_tot ... 0.00 Bohr magnetons per cell
SG ... P2_1/m, No. 11

---

The most stable of them is <x>.

---

<w>
Below is a relaxed structure of Ir6OsRu, with properties calculated at the PBE level.

a b c (Å): 5.1824 5.1824 5.1824
angles (deg): 89.80 89.80 89.80
Positions (direct):
Ir (0.1679, 0.1679, 0.5653)
Ir (0.1679, 0.5653, 0.1679)
Ir (0.4347, 0.8321, 0.8321)
Ir (0.5653, 0.1679, 0.1679)
Ir (0.8321, 0.4347, 0.8321)
Ir (0.8321, 0.8321, 0.4347)
Os (0.5000, 0.5000, 0.5000)
Ru (0.0000, 0.0000, 0.0000)

Properties
M_tot ... 0.00 Bohr magnetons per cell
SG ... R-3m, No. 166

---

<x>
Below is a relaxed structure of Ir6OsRu, with properties calculated at the PBE level.

a b c (Å): 3.8631 3.8631 7.7228
angles (deg): 90.00 90.00 90.00
Positions (direct):
Ir (0.0000, 0.0000, 0.0000)
Ir (0.0000, 0.0000, 0.5000)
Ir (0.0000, 0.5000, 0.2496)
Ir (0.0000, 0.5000, 0.7504)
Ir (0.5000, 0.0000, 0.2496)
Ir (0.5000, 0.0000, 0.7504)
Os (0.5000, 0.5000, 0.0000)
Ru (0.5000, 0.5000, 0.5000)

Properties
M_tot ... 0.00 Bohr magnetons per cell
SG ... P4/mmm, No. 123

---

The most stable of them is <x>.